A plane-wave DFT calculation with GGA-PBE was carried out for a relaxed structure of SrTcW3.

Unit cell a=4.8535 b=4.8535 c=4.8535 alpha=90.00 beta=90.00 gamma=90.00
With the nearest neighbours (Å) after each atom.
Space group Pm-3m (No. 221)
Symmetry-distinct sites (fractional):
1 Sr 0.0000 0.0000 0.0000  12 W 3.43
2 Tc 0.5000 0.5000 0.5000  6 W 2.43
3 W 0.0000 0.5000 0.5000  2 Tc 2.43

Calculated values
volume	114.3	Å³/cell
distance to the lowest polymorph of the same formula	0	meV/atom
energy of formation from the pure elements	1620	meV/atom
total energy	-42.8	eV/f.u.